1.
Entry from the Alexandria database: crystalline SiOs2Pt at its relaxed geometry (GGA-PBE).

Computed properties:
ΔE_f (raw) = 44.1 kJ per mole of atoms

a = 4.358 Å, b = 4.358 Å, c = 4.358 Å
α = 60.00°, β = 60.00°, γ = 60.00°
Fractional coordinates of all 4 atoms:
1 Si 0.000 0.000 0.000
2 Os 0.500 0.500 0.500
3 Os 0.750 0.750 0.750
4 Pt 0.250 0.250 0.250

2.
Entry from the Alexandria database: crystalline ZrBeIn2Te at its relaxed geometry (GGA-PBE).

Computed properties:
ΔE_f (raw) = 88.0 kJ per mole of atoms

a = 5.715 Å, b = 5.715 Å, c = 4.852 Å
α = 90.00°, β = 90.00°, γ = 90.00°
Fractional coordinates of all 5 atoms:
1 Zr 0.000 0.000 0.000
2 Be 0.000 0.000 0.500
3 In 0.000 0.500 0.000
4 In 0.500 0.000 0.000
5 Te 0.500 0.500 0.500

Fermi-level density of states readings, ordered: 1.655, 0.870 states/eV/atom
Ρ readings, ordered: 17.1, 4.8 g/cm³